Material: CsP3Pb
Method: DFT, PBE-GGA
State: optimized geometry

Lattice parameters (Å, degrees): 5.4399 5.4399 5.4399 90.00 90.00 90.00
Positions (direct):
Cs1 0.0000 0.0000 0.0000
P1 0.0000 0.5000 0.5000
P2 0.5000 0.0000 0.5000
P3 0.5000 0.5000 0.0000
Pb1 0.5000 0.5000 0.5000

Output
Total magnetic moment ... 0.3370 μB per atom
Total DFT energy (no corrections) ... -3.33 eV/atom
Calculated formation energy ... 828 meV/atom
E above lowest polymorph ... 0 kJ/mol of formula units

---

Material: CsP3Pb
Method: DFT, PBE-GGA
State: optimized geometry

Lattice parameters (Å, degrees): 5.4361 5.4361 5.4361 90.00 90.00 90.00
Positions (direct):
Cs1 0.0000 0.0000 0.0000
P1 0.0000 0.0000 0.5000
P2 0.0000 0.5000 0.0000
P3 0.5000 0.0000 0.0000
Pb1 0.5000 0.5000 0.5000

Output
Total magnetic moment ... 0.0000 μB per atom
Total DFT energy (no corrections) ... -2.41 eV/atom
Calculated formation energy ... 1744 meV/atom
E above lowest polymorph ... 442 kJ/mol of formula units

---

Material: CsP2Pb
Method: DFT, PBE-GGA
State: optimized geometry

Lattice parameters (Å, degrees): 7.1507 7.1507 7.1507 110.75 110.75 106.94
Positions (direct):
Cs1 0.0000 0.0000 0.0000
Cs2 0.7500 0.2500 0.5000
P1 0.2142 0.6250 0.0892
P2 0.3750 0.4642 0.5892
P3 0.5358 0.1250 0.9108
P4 0.8750 0.7858 0.4108
Pb1 0.2500 0.7500 0.5000
Pb2 0.5000 0.5000 0.0000

Output
Total magnetic moment ... 0.2052 μB per atom
Total DFT energy (no corrections) ... -3.62 eV/atom
Calculated formation energy ... 227 meV/atom